[1]
Crystalline Sb2AuCl at its relaxed geometry. Source: Alexandria via LeMat-Bulk, functional PBE.

Calculated values
Energy relative to the elements, uncorrected ... 0.17 eV per atom
Crystal system ... tetragonal
V ... 265.19 Å³/cell
Density ... 5.96 g/cm³
VASP energy ... -25.39 eV for the cell shown

Cell: 8.3565 8.3565 8.3565 Å, 137.30 137.30 61.97°
Last column: nearest neighbours and their distance in Å.
Atoms (fractional coordinates):
Sb  0.0820  0.6250  0.9570  2 Au 2.67, 2 Cl 2.95
Sb  0.3750  0.3320  0.4570  2 Au 2.67, 2 Cl 2.95
Sb  0.6680  0.1250  0.0430  2 Au 2.67, 2 Cl 2.95
Sb  0.8750  0.9180  0.5430  2 Au 2.67, 2 Cl 2.95
Au  0.0000  0.0000  0.0000  4 Sb 2.67
Au  0.7500  0.2500  0.5000  4 Sb 2.67
Cl  0.2500  0.7500  0.5000  4 Sb 2.95
Cl  0.5000  0.5000  0.0000  4 Sb 2.95

[2]
Crystalline Sb2AuCl at its relaxed geometry. Source: Alexandria via LeMat-Bulk, functional PBE.

Calculated values
Energy relative to the elements, uncorrected ... -0.05 eV per atom
Crystal system ... tetragonal
V ... 94.24 Å³/cell
Density ... 8.39 g/cm³
VASP energy ... -13.58 eV for the cell shown

Cell: 3.3600 3.3600 8.3478 Å, 90.00 90.00 90.00°
Last column: nearest neighbours and their distance in Å.
Atoms (fractional coordinates):
Sb  0.0000  0.0000  0.2262  4 Au 3.03, 4 Cl 3.30, 4 Sb 3.36
Sb  0.0000  0.0000  0.7738  4 Au 3.03, 4 Cl 3.30, 4 Sb 3.36
Au  0.5000  0.5000  0.0000  8 Sb 3.03, 4 Au 3.36
Cl  0.5000  0.5000  0.5000  8 Sb 3.30, 4 Cl 3.36

[3]
Crystalline SbAu2Cl at its relaxed geometry. Source: Alexandria via LeMat-Bulk, functional PBE.

Calculated values
Energy relative to the elements, uncorrected ... 0.13 eV per atom
Crystal system ... tetragonal
V ... 86.51 Å³/cell
Density ... 10.58 g/cm³
VASP energy ... -12.02 eV for the cell shown

Cell: 3.3907 3.3907 7.5248 Å, 90.00 90.00 90.00°
Last column: nearest neighbours and their distance in Å.
Atoms (fractional coordinates):
Sb  0.0000  0.0000  0.0000  8 Au 2.98
Au  0.5000  0.5000  0.2350  4 Sb 2.98, 4 Cl 3.12
Au  0.5000  0.5000  0.7650  4 Sb 2.98, 4 Cl 3.12
Cl  0.0000  0.0000  0.5000  8 Au 3.12, 4 Cl 3.39

[4]
Crystalline Sb2AuCl at its relaxed geometry. Source: Alexandria via LeMat-Bulk, functional PBE.

Calculated values
Energy relative to the elements, uncorrected ... 0.06 eV per atom
Crystal system ... tetragonal
V ... 103.04 Å³/cell
Density ... 7.67 g/cm³
VASP energy ... -13.12 eV for the cell shown

Cell: 3.7590 3.7590 7.2919 Å, 90.00 90.00 90.00°
Last column: nearest neighbours and their distance in Å.
Atoms (fractional coordinates):
Sb  0.0000  0.0000  0.0000  1 Au 2.95, 4 Sb 3.25, 4 Cl 3.29
Sb  0.5000  0.5000  0.2555  4 Au 2.87
Au  0.0000  0.0000  0.4040  5 Sb 2.87-2.95
Cl  0.5000  0.5000  0.7331  5 Sb 3.29-3.48, 4 Au 3.58